(1)
Compound: Zr2CdNi
Source: the Alexandria database
Functional: PBEsol
Structure: relaxed

As for the crystal system: tetragonal. Its total energy is -0.47140 Ry per atom. The calculation puts the density at 8.08 g/cm³. Its spin magnetization is 0.00 Bohr magnetons per cell.

It has space group I-4m2 (No. 119), with a = 4.044 Å, b = 4.044 Å, c = 8.889 Å, α = 90.00°, β = 90.00° and γ = 90.00°. The inequivalent atoms are Zr at (0.000, 0.000, 0.000), Zr at (0.000, 0.500, 0.250), Cd at (0.000, 0.000, 0.500) and Ni at (0.000, 0.500, 0.750).

(2)
Compound: CdOsO3
Source: the Alexandria database
Functional: PBEsol
Structure: relaxed

As for the crystal system: cubic. Its total energy is -0.47516 Ry per atom. The calculation puts the density at 9.86 g/cm³. Its spin magnetization is 0.01 Bohr magnetons per cell. The raw formation energy is -633 meV/atom.

It has space group Pm-3m (No. 221), with a = 3.894 Å, b = 3.894 Å, c = 3.894 Å, α = 90.00°, β = 90.00° and γ = 90.00°. The inequivalent atoms are Cd at (0.000, 0.000, 0.000), Os at (0.500, 0.500, 0.500) and O at (0.000, 0.500, 0.500).